No. 1
First-principles (PBE) data for a relaxed structure of LaMg2W, as listed in Alexandria via LeMat-Bulk.

```
LaMg2W
1.0
4.292 0.000 0.000
0.000 4.292 0.000
0.000 0.000 4.934
La Mg W
1 2 1
Cartesian
0.000 0.000 0.000 La
0.000 2.146 2.467 Mg
2.146 0.000 2.467 Mg
2.146 2.146 0.000 W
```

Calculated values
E_form: 592 meV per atom
V: 22.73 Å³/atom
Polymorph energy (0 for the lowest one): 202 meV per atom
Magnetic moment: 0.4 μB per formula unit

No. 2
First-principles (PBE) data for a relaxed structure of Pm4SnSb5, as listed in Alexandria via LeMat-Bulk.

```
Pm4SnSb5
1.0
-2.234 2.234 16.077
2.234 -2.234 16.077
2.234 2.234 -16.077
Pm Sn Sb
4 1 5
Cartesian
0.000 0.000 3.248 Pm
0.000 0.000 9.632 Pm
0.000 0.000 22.523 Pm
0.000 0.000 28.907 Pm
0.000 0.000 16.077 Sn
0.000 0.000 0.000 Sb
0.000 0.000 6.449 Sb
0.000 0.000 12.822 Sb
0.000 0.000 19.332 Sb
0.000 0.000 25.705 Sb
```

Calculated values
Uncorrected formation energy: -0.897 eV per atom
V: 32.10 Å³/atom
Magnetic moment: 0.0 μB per formula unit

No. 3
First-principles (PBE) data for a relaxed structure of Ac3Pm2Nd2, as listed in Alexandria via LeMat-Bulk.

```
Ac3Pm2Nd2
1.0
9.313 -1.859 0.000
9.313 1.859 0.000
-4.169 0.000 7.974
Ac Pm Nd
3 2 2
Cartesian
0.000 0.000 0.000 Ac
2.823 0.000 2.353 Ac
11.634 0.000 5.621 Ac
5.668 0.000 4.719 Pm
8.789 0.000 3.256 Pm
-0.815 0.000 6.518 Nd
15.271 0.000 1.456 Nd
```

Calculated values
E_form: 130 meV per atom
V: 39.45 Å³/atom
Polymorph energy (0 for the lowest one): 85 meV per atom
Magnetic moment: 0.0 μB per formula unit

No. 4
First-principles (PBE) data for a relaxed structure of NaSr2Dy, as listed in Alexandria via LeMat-Bulk.

```
NaSr2Dy
1.0
3.903 0.000 0.000
0.000 3.903 0.000
0.000 0.000 11.292
Na Sr Dy
1 2 1
Cartesian
0.000 0.000 0.000 Na
1.952 1.952 2.910 Sr
1.952 1.952 8.382 Sr
0.000 0.000 5.646 Dy
```

Calculated values
E_form: 144 meV per atom
V: 43.00 Å³/atom
Polymorph energy (0 for the lowest one): 0 meV per atom
Magnetic moment: 0.8 μB per formula unit

No. 5
First-principles (PBE) data for a relaxed structure of Al2ZnGa, as listed in Alexandria via LeMat-Bulk.

```
Al2ZnGa
1.0
4.071 0.000 0.000
0.000 4.071 0.000
0.000 0.000 4.017
Al Zn Ga
2 1 1
Cartesian
0.000 2.036 0.000 Al
2.036 0.000 0.000 Al
0.000 0.000 2.009 Zn
2.036 2.036 2.009 Ga
```

Calculated values
E_form: 55 meV per atom
V: 16.65 Å³/atom
Magnetic moment: 0.0 μB per formula unit

No. 6
First-principles (PBE) data for a relaxed structure of KSrMnCd2, as listed in Alexandria via LeMat-Bulk.

```
KSrMnCd2
1.0
5.951 0.000 0.000
0.000 5.951 0.000
0.000 0.000 6.827
K Sr Mn Cd
1 1 1 2
Cartesian
0.000 0.000 0.000 K
0.000 0.000 3.414 Sr
2.975 2.975 3.414 Mn
0.000 2.975 0.000 Cd
2.975 0.000 0.000 Cd
```

Calculated values
E_form: 1082 meV per atom
V: 48.36 Å³/atom
Magnetic moment: 4.3 μB per formula unit